# 1
Computed, not measured: a relaxed structure of CaCu2Ru at the GGA-PBE level of DFT.

Structure (POSCAR):
```
CaCu2Ru
1.0
5.033 -0.001 0.000
2.017 4.611 0.000
-3.525 -2.305 2.756
Cu Ca Ru
2 1 1
direct
0.250 0.750 0.500
0.000 0.000 0.000
0.750 0.250 0.500
0.500 0.500 0.000
```

## Properties
Crystal system ... tetragonal
Energy of formation ... 0.318 eV/atom
Mass density ... 7.0 g cm⁻³
Space-group type ... No. 119

# 2
Computed, not measured: a relaxed structure of CaCu2Ru at the GGA-PBE level of DFT.

Structure (POSCAR):
```
CaCu2Ru
1.0
4.375 0.000 0.000
0.000 4.375 0.000
2.187 2.187 8.655
Ru Ca Cu
2 2 4
direct
0.000 0.000 0.000
0.750 0.250 0.500
0.500 0.500 0.000
0.250 0.750 0.500
0.974 0.625 0.250
0.875 0.026 0.750
0.776 0.125 0.250
0.375 0.224 0.750
```

## Properties
Crystal system ... tetragonal
Energy of formation ... 0.549 eV/atom
Mass density ... 5.4 g cm⁻³
Space-group type ... No. 122

# 3
Computed, not measured: a relaxed structure of CaTbCuRu at the GGA-PBE level of DFT.

Structure (POSCAR):
```
CaTbCuRu
1.0
4.882 0.000 0.000
2.441 4.228 0.000
2.441 1.409 3.986
Tb Cu Ru Ca
1 1 1 1
direct
0.000 0.000 0.000
0.250 0.250 0.250
0.750 0.750 0.750
0.500 0.500 0.500
```

## Properties
Crystal system ... cubic
Energy of formation ... -0.075 eV/atom
Mass density ... 7.3 g cm⁻³
Space-group type ... No. 216